# NbNiSeN2

Crystalline NbNiSeN2 at its relaxed geometry (PBE-GGA, the Alexandria database).

Values from the calculation:
E above lowest polymorph, eV per atom: 0.000
M_tot, μB/cell: 1.83
Energy relative to the elements, uncorrected, meV/atom: 592
N(E_F), states/eV per atom: 0.836

```
data_NbNiSeN2
_chemical_formula_sum 'Nb1 Ni1 Se1 N2'
_cell_length_a 3.937
_cell_length_b 3.937
_cell_length_c 5.537
_cell_angle_alpha 90.00
_cell_angle_beta 90.00
_cell_angle_gamma 90.00
_symmetry_space_group_name_H-M 'P 4/m m m'
_symmetry_Int_Tables_number 123
_symmetry_space_group_name_Hall '-P 4 2'
loop_
_atom_site_label
_atom_site_type_symbol
_atom_site_fract_x
_atom_site_fract_y
_atom_site_fract_z
Nb1 Nb 0.000 0.000 0.000
Ni1 Ni 0.500 0.500 0.500
Se1 Se 0.000 0.000 0.500
N1 N 0.000 0.500 0.000
```